[1]
## ZnTe2Cl (PBE-GGA)

Data for ZnTe2Cl after structural relaxation.

Geometry as CIF:
```
data_ZnTe2Cl
_space_group_name_H-M_alt 'C 1 m 1'
_space_group_IT_number 8
_space_group_name_Hall 'C -2y'
_cell_length_a 11.811
_cell_length_b 3.428
_cell_length_c 6.075
_cell_angle_alpha 90.00
_cell_angle_beta 102.41
_cell_angle_gamma 90.00
loop_
_atom_site_label
_atom_site_fract_x
_atom_site_fract_y
_atom_site_fract_z
Zn1 0.000 0.000 0.000
Te1 0.011 0.500 0.417
Te2 0.351 0.000 0.691
Cl1 0.154 0.500 0.041
```

Summary:
The value obtained for the distance to the lowest polymorph of the same formula is 53 meV per atom. As for the formation energy (no corrections): -265 meV/atom. The spin magnetization comes out at 0.0 μB per formula unit.


[2]
## ZnTe2Cl (PBE-GGA)

Data for ZnTe2Cl after structural relaxation.

Geometry as CIF:
```
data_ZnTe2Cl
_space_group_name_H-M_alt 'F -4 3 m'
_space_group_IT_number 216
_space_group_name_Hall 'F -4 2 3'
_cell_length_a 7.334
_cell_length_b 7.334
_cell_length_c 7.334
_cell_angle_alpha 90.00
_cell_angle_beta 90.00
_cell_angle_gamma 90.00
loop_
_atom_site_label
_atom_site_fract_x
_atom_site_fract_y
_atom_site_fract_z
Zn1 0.000 0.000 0.000
Te1 0.000 0.000 0.500
Te2 0.250 0.250 0.250
Cl1 0.250 0.250 0.750
```

Summary:
The value obtained for the distance to the lowest polymorph of the same formula is 474 meV per atom. As for the formation energy (no corrections): 155 meV/atom. The spin magnetization comes out at 0.0 μB per formula unit.


[3]
## ZnTe2Cl (PBE-GGA)

Data for ZnTe2Cl after structural relaxation.

Geometry as CIF:
```
data_ZnTe2Cl
_space_group_name_H-M_alt 'R 3 m'
_space_group_IT_number 160
_space_group_name_Hall 'R 3 -2"'
_cell_length_a 3.8753
_cell_length_b 3.8753
_cell_length_c 26.9532
_cell_angle_alpha 90.00
_cell_angle_beta 90.00
_cell_angle_gamma 120.00
loop_
_atom_site_label
_atom_site_fract_x
_atom_site_fract_y
_atom_site_fract_z
Zn1 0.0000 0.0000 0.0000
Te1 0.0000 0.0000 0.4775
Te2 0.0000 0.0000 0.7335
Cl1 0.0000 0.0000 0.2844
```

Summary:
The value obtained for the distance to the lowest polymorph of the same formula is 145 meV per atom. As for the formation energy (no corrections): -173 meV/atom. The spin magnetization comes out at 0.0 μB per formula unit.


[4]
## ZnTe2Cl (PBE-GGA)

Data for ZnTe2Cl after structural relaxation.

Geometry as CIF:
```
data_ZnTe2Cl
_space_group_name_H-M_alt 'P 4/m m m'
_space_group_IT_number 123
_space_group_name_Hall '-P 4 2'
_cell_length_a 5.475
_cell_length_b 5.475
_cell_length_c 3.219
_cell_angle_alpha 90.00
_cell_angle_beta 90.00
_cell_angle_gamma 90.00
loop_
_atom_site_label
_atom_site_fract_x
_atom_site_fract_y
_atom_site_fract_z
Zn1 0.000 0.000 0.000
Te1 0.000 0.500 0.500
Cl1 0.500 0.500 0.000
```

Summary:
The value obtained for the distance to the lowest polymorph of the same formula is 575 meV per atom. As for the formation energy (no corrections): 257 meV/atom. The spin magnetization comes out at 0.0 μB per formula unit.


[5]
## ZnTe2Cl2 (PBE-GGA)

Data for ZnTe2Cl2 after structural relaxation.

Geometry as CIF:
```
data_ZnTe2Cl2
_space_group_name_H-M_alt 'I 4/m m m'
_space_group_IT_number 139
_space_group_name_Hall '-I 4 2'
_cell_length_a 5.866
_cell_length_b 5.866
_cell_length_c 9.714
_cell_angle_alpha 90.00
_cell_angle_beta 90.00
_cell_angle_gamma 90.00
loop_
_atom_site_label
_atom_site_fract_x
_atom_site_fract_y
_atom_site_fract_z
Zn1 0.000 0.000 0.000
Te1 0.000 0.000 0.371
Cl1 0.000 0.500 0.250
```

Summary:
As for the formation energy (no corrections): 140 meV/atom. The spin magnetization comes out at 0.0 μB per formula unit.


[6]
## ZnTe2Cl (PBE-GGA)

Data for ZnTe2Cl after structural relaxation.

Geometry as CIF:
```
data_ZnTe2Cl
_space_group_name_H-M_alt 'P 1 m 1'
_space_group_IT_number 6
_space_group_name_Hall 'P -2y'
_cell_length_a 4.026
_cell_length_b 3.645
_cell_length_c 8.905
_cell_angle_alpha 90.00
_cell_angle_beta 90.70
_cell_angle_gamma 90.00
loop_
_atom_site_label
_atom_site_fract_x
_atom_site_fract_y
_atom_site_fract_z
Zn1 0.000 0.000 0.000
Te1 0.665 0.500 0.190
Te2 0.676 0.000 0.438
Cl1 0.125 0.500 0.835
```

Summary:
The value obtained for the distance to the lowest polymorph of the same formula is 126 meV per atom. As for the formation energy (no corrections): -192 meV/atom. The spin magnetization comes out at 0.0 μB per formula unit.


[7]
## Zn2TeCl (PBE-GGA)

Data for Zn2TeCl after structural relaxation.

Geometry as CIF:
```
data_Zn2TeCl
_space_group_name_H-M_alt 'F -4 3 m'
_space_group_IT_number 216
_space_group_name_Hall 'F -4 2 3'
_cell_length_a 7.017
_cell_length_b 7.017
_cell_length_c 7.017
_cell_angle_alpha 90.00
_cell_angle_beta 90.00
_cell_angle_gamma 90.00
loop_
_atom_site_label
_atom_site_fract_x
_atom_site_fract_y
_atom_site_fract_z
Zn1 0.000 0.000 0.000
Zn2 0.250 0.250 0.250
Te1 0.250 0.250 0.750
Cl1 0.000 0.000 0.500
```

Summary:
The value obtained for the distance to the lowest polymorph of the same formula is 504 meV per atom. As for the formation energy (no corrections): 152 meV/atom. The spin magnetization comes out at 0.0 μB per formula unit.


[8]
## ZnTe2Cl (PBE-GGA)

Data for ZnTe2Cl after structural relaxation.

Geometry as CIF:
```
data_ZnTe2Cl
_space_group_name_H-M_alt 'C 1 2/m 1'
_space_group_IT_number 12
_space_group_name_Hall '-C 2y'
_cell_length_a 11.590
_cell_length_b 3.591
_cell_length_c 5.228
_cell_angle_alpha 90.00
_cell_angle_beta 99.63
_cell_angle_gamma 90.00
loop_
_atom_site_label
_atom_site_fract_x
_atom_site_fract_y
_atom_site_fract_z
Zn1 0.000 0.000 0.000
Te1 0.189 0.500 0.162
Cl1 0.000 0.500 0.500
```

Summary:
The value obtained for the distance to the lowest polymorph of the same formula is 184 meV per atom. As for the formation energy (no corrections): -134 meV/atom. The spin magnetization comes out at 0.0 μB per formula unit.


Raw total energy readings, ordered: -2.62; -2.20; -2.52; -2.09; -2.11; -2.54; -1.73; -2.48 eV per atom